A plane-wave DFT calculation with GGA-PBE was carried out for an optimized crystal structure of Hf6MnHg2.

Results
M_tot	0.000	μB/f.u.
VASP energy	-70.18	eV for the cell shown
E above lowest polymorph	0.000	eV/atom
SG	P-62m (189)
energy of formation	-0.077	eV/atom

Cell lengths 3.3577, 8.0137, 8.0113 Å; angles 120.01, 90.00, 90.00 degrees
Fractional coordinates of all 9 atoms:
Hf 0.5000 0.6247 0.0000
Hf 0.0000 0.9998 0.2437
Mn 0.5000 0.0003 0.0000
Hf 0.5000 0.0000 0.6248
Hf 0.5000 0.3751 0.3752
Hg 0.0000 0.3332 0.6665
Hf 0.0000 0.7562 0.7563
Hg 0.0000 0.6667 0.3335
Hf 0.0000 0.2440 0.0000